#P
The following is a DFT calculation (PBE) of a relaxed Pr4Er6Tm crystal.

The structure belongs to space group P-6m2 (No. 187); the cell edges are 11.0273, 11.0273 and 3.5582 Å and the angles 90.00°, 90.00° and 120.00°. The asymmetric unit holds Pr at (0.0000, 0.0000, 0.0000), Pr at (0.0013, 0.5007, 0.5000), Er at (0.1727, 0.3454, 0.0000), Er at (0.3101, 0.1550, 0.5000) and Tm at (0.6667, 0.3333, 0.0000).

The density comes out at 7.69 g cm⁻³.

#Q
The following is a DFT calculation (PBE) of a relaxed Pr4Er6Tm crystal.

The structure belongs to space group I-42m (No. 121); the cell edges are 6.662, 6.662 and 16.968 Å and the angles 90.00°, 90.00° and 90.00°. The asymmetric unit holds Pr at (0.190, 0.190, 0.324), Er at (0.000, 0.500, 0.000), Er at (0.178, 0.178, 0.123) and Tm at (0.000, 0.000, 0.500).

The density comes out at 7.66 g cm⁻³.

Which is most stable, and by how much? #P, by 11.6 kJ/mol of atoms.

#P
The following is a DFT calculation (PBE) of a relaxed Pr5ErTm2 crystal.

The structure belongs to space group C2/c (No. 15); the cell edges are 13.046, 15.945 and 6.037 Å and the angles 90.00°, 117.31° and 90.00°. The asymmetric unit holds Pr at (0.000, 0.202, 0.250), Pr at (0.160, 0.446, 0.411), Pr at (0.189, 0.146, 0.939), Er at (0.000, 0.343, 0.750), Tm at (0.000, 0.000, 0.000) and Tm at (0.250, 0.250, 0.500).

The density comes out at 7.20 g cm⁻³.

#Q
The following is a DFT calculation (PBE) of a relaxed Pr5ErTm2 crystal.

The structure belongs to space group I4/mcm (No. 140); the cell edges are 9.268, 9.268 and 12.775 Å and the angles 90.00°, 90.00° and 90.00°. The asymmetric unit holds Pr at (0.000, 0.000, 0.000), Pr at (0.150, 0.350, 0.164), Er at (0.000, 0.000, 0.250) and Tm at (0.145, 0.355, 0.500).

The density comes out at 7.32 g cm⁻³.

Which is most stable, and by how much? #Q, by 11.0 kJ/mol of atoms.

#P
The following is a DFT calculation (PBE) of a relaxed PrEr6Tm3 crystal.

The structure belongs to space group Cmc2_1 (No. 36); the cell edges are 10.658, 19.058 and 6.180 Å and the angles 90.00°, 90.00° and 90.00°. The asymmetric unit holds Pr at (0.000, 0.211, 0.000), Er at (0.000, 0.049, 0.283), Er at (0.000, 0.310, 0.560), Er at (0.170, 0.456, 0.697), Er at (0.230, 0.211, 0.342), Tm at (0.000, 0.386, 0.096) and Tm at (0.183, 0.107, 0.749).

The density comes out at 8.74 g cm⁻³.

#Q
The following is a DFT calculation (PBE) of a relaxed PrEr6Tm3 crystal.

The structure belongs to space group R3 (No. 146, hexagonal axes); the cell edges are 9.7068, 9.7068 and 11.6795 Å and the angles 90.00°, 90.00° and 120.00°. The asymmetric unit holds Pr at (0.0000, 0.0000, 0.0000), Er at (0.0005, 0.6647, 0.8285), Er at (0.0051, 0.3359, 0.3292), Tm at (0.0000, 0.0000, 0.2581), Tm at (0.0000, 0.0000, 0.5025) and Tm at (0.0000, 0.0000, 0.7508).

The density comes out at 8.63 g cm⁻³.

Which is most stable, and by how much? #P, by 12.7 kJ/mol of atoms.

#P
The following is a DFT calculation (PBE) of a relaxed PrEr3Tm4 crystal.

The structure belongs to space group C2/m (No. 12); the cell edges are 26.002, 5.582 and 3.526 Å and the angles 90.00°, 90.04° and 90.00°. The asymmetric unit holds Pr at (0.000, 0.000, 0.000), Er at (0.000, 0.500, 0.500), Er at (0.158, 0.500, 0.000), Tm at (0.106, 0.000, 0.500) and Tm at (0.224, 0.000, 0.499).

The density comes out at 8.56 g cm⁻³.

#Q
The following is a DFT calculation (PBE) of a relaxed PrEr3Tm4 crystal.

The structure belongs to space group Pmn2_1 (No. 31); the cell edges are 11.168, 7.209 and 6.218 Å and the angles 90.00°, 90.00° and 90.00°. The asymmetric unit holds Pr at (0.000, 0.127, 0.000), Er at (0.000, 0.873, 0.499), Er at (0.250, 0.127, 0.335), Tm at (0.000, 0.377, 0.502), Tm at (0.000, 0.623, 0.001) and Tm at (0.248, 0.623, 0.334).

The density comes out at 8.75 g cm⁻³.

Which is most stable, and by how much? #Q, by 22.6 kJ/mol of atoms.

#P
The following is a DFT calculation (PBE) of a relaxed PrEr5Tm4 crystal.

The structure belongs to space group P-1 (No. 2); the cell edges are 3.527, 9.310 and 9.925 Å and the angles 105.50°, 90.06° and 100.92°. The asymmetric unit holds Pr at (0.000, 0.000, 0.000), Er at (0.000, 0.000, 0.500), Er at (0.200, 0.399, 0.599), Er at (0.201, 0.401, 0.101), Tm at (0.399, 0.797, 0.202) and Tm at (0.399, 0.798, 0.697).

The density comes out at 8.91 g cm⁻³.

#Q
The following is a DFT calculation (PBE) of a relaxed PrEr5Tm4 crystal.

The structure belongs to space group I4 (No. 79); the cell edges are 10.092, 10.092 and 6.281 Å and the angles 90.00°, 90.00° and 90.00°. The asymmetric unit holds Pr at (0.000, 0.000, 0.000), Er at (0.000, 0.000, 0.544), Er at (0.143, 0.235, 0.274) and Tm at (0.052, 0.350, 0.770).

The density comes out at 8.58 g cm⁻³.

Which is most stable, and by how much? #P, by 27.7 kJ/mol of atoms.

#P
The following is a DFT calculation (PBE) of a relaxed PrEr4Tm5 crystal.

The structure belongs to space group P-1 (No. 2); the cell edges are 3.522, 6.596 and 14.022 Å and the angles 98.51°, 93.52° and 103.80°. The asymmetric unit holds Pr at (0.000, 0.000, 0.000), Er at (0.108, 0.808, 0.219), Er at (0.201, 0.729, 0.803), Tm at (0.206, 0.881, 0.583), Tm at (0.494, 0.427, 0.613) and Tm at (0.500, 0.500, 0.000).

The density comes out at 8.83 g cm⁻³.

#Q
The following is a DFT calculation (PBE) of a relaxed PrEr4Tm5 crystal.

The structure belongs to space group I4 (No. 79); the cell edges are 10.100, 10.100 and 6.267 Å and the angles 90.00°, 90.00° and 90.00°. The asymmetric unit holds Pr at (0.000, 0.000, 0.000), Er at (0.052, 0.650, 0.230), Tm at (0.000, 0.000, 0.457) and Tm at (0.143, 0.765, 0.725).

The density comes out at 8.60 g cm⁻³.

Which is most stable, and by how much? #P, by 23.8 kJ/mol of atoms.

#P
The following is a DFT calculation (PBE) of a relaxed PrEr4Tm6 crystal.

The structure belongs to space group Cmcm (No. 63); the cell edges are 5.583, 9.632 and 25.412 Å and the angles 90.00°, 90.00° and 90.00°. The asymmetric unit holds Pr at (0.000, 0.169, 0.250), Er at (0.000, 0.166, 0.541), Er at (0.000, 0.496, 0.621), Tm at (0.000, 0.163, 0.680), Tm at (0.000, 0.170, 0.101), Tm at (0.000, 0.497, 0.750) and Tm at (0.000, 0.500, 0.000).

The density comes out at 8.86 g cm⁻³.

#Q
The following is a DFT calculation (PBE) of a relaxed PrEr4Tm6 crystal.

The structure belongs to space group I-42m (No. 121); the cell edges are 7.663, 7.663 and 12.753 Å and the angles 90.00°, 90.00° and 90.00°. The asymmetric unit holds Pr at (0.000, 0.000, 0.000), Er at (0.164, 0.164, 0.425), Tm at (0.000, 0.500, 0.000) and Tm at (0.246, 0.246, 0.686).

The density comes out at 8.09 g cm⁻³.

Which is most stable, and by how much? #P, by 33.1 kJ/mol of atoms.

#P
The following is a DFT calculation (PBE) of a relaxed Pr3Er7Tm crystal.

The structure belongs to space group P3m1 (No. 156); the cell edges are 7.0376, 7.0376 and 8.6667 Å and the angles 90.00°, 90.00° and 120.00°. The asymmetric unit holds Pr at (0.0001, 0.5000, 0.0000), Er at (0.1675, 0.3349, 0.6602), Er at (0.3349, 0.1674, 0.3393), Er at (0.6667, 0.3333, 0.6598) and Tm at (0.3333, 0.6667, 0.3400).

The density comes out at 7.87 g cm⁻³.

#Q
The following is a DFT calculation (PBE) of a relaxed Pr3Er7Tm crystal.

The structure belongs to space group P-1 (No. 2); the cell edges are 6.487, 6.684 and 8.578 Å and the angles 99.60°, 98.20° and 95.27°. The asymmetric unit holds Pr at (0.000, 0.000, 0.000), Pr at (0.196, 0.562, 0.166), Er at (0.012, 0.769, 0.578), Er at (0.282, 0.274, 0.787), Er at (0.437, 0.791, 0.854), Er at (0.500, 0.500, 0.500) and Tm at (0.500, 0.000, 0.500).

The density comes out at 8.12 g cm⁻³.

Which is most stable, and by how much? #Q, by 4.7 kJ/mol of atoms.

#P
The following is a DFT calculation (PBE) of a relaxed Pr4ErTm2 crystal.

The structure belongs to space group Imma (No. 74); the cell edges are 6.914, 11.465 and 12.135 Å and the angles 90.00°, 90.00° and 90.00°. The asymmetric unit holds Pr at (0.000, 0.004, 0.151), Pr at (0.221, 0.250, 0.990), Er at (0.250, 0.250, 0.250), Tm at (0.000, 0.000, 0.500) and Tm at (0.000, 0.250, 0.717).

The density comes out at 7.38 g cm⁻³.

#Q
The following is a DFT calculation (PBE) of a relaxed Pr4ErTm2 crystal.

The structure belongs to space group Fdd2 (No. 43); the cell edges are 12.021, 24.392 and 6.473 Å and the angles 90.00°, 90.00° and 90.00°. The asymmetric unit holds Pr at (0.052, 0.070, 0.000), Pr at (0.070, 0.144, 0.531), Er at (0.000, 0.000, 0.497) and Tm at (0.024, 0.216, 0.055).

The density comes out at 7.48 g cm⁻³.

Which is most stable, and by how much? #Q, by 18.4 kJ/mol of atoms.

#P
The following is a DFT calculation (PBE) of a relaxed Pr2Er3Tm6 crystal.

The structure belongs to space group C2/m (No. 12); the cell edges are 6.048, 10.487 and 11.636 Å and the angles 90.00°, 100.05° and 90.00°. The asymmetric unit holds Pr at (0.000, 0.167, 0.000), Er at (0.000, 0.000, 0.500), Er at (0.000, 0.335, 0.500), Tm at (0.249, 0.167, 0.745) and Tm at (0.249, 0.500, 0.745).

The density comes out at 8.21 g cm⁻³.

#Q
The following is a DFT calculation (PBE) of a relaxed Pr2Er3Tm6 crystal.

The structure belongs to space group I4/mmm (No. 139); the cell edges are 4.701, 4.701 and 32.969 Å and the angles 90.00°, 90.00° and 90.00°. The asymmetric unit holds Pr at (0.000, 0.000, 0.047), Er at (0.000, 0.000, 0.298), Er at (0.000, 0.000, 0.500), Tm at (0.000, 0.000, 0.195) and Tm at (0.000, 0.500, 0.123).

The density comes out at 8.19 g cm⁻³.

Which is most stable, and by how much? #P, by 8.3 kJ/mol of atoms.